The following is a PBE-GGA calculation of a relaxed structure of Tb3Er3ZnRu2, from Alexandria via LeMat-Bulk.

a b c (Å): 8.1365 8.1365 3.7442
angles (deg): 90.00 90.00 120.00
Space group P-62m (No. 189)
Asymmetric unit:
Tb1 0.0000 0.7216 0.0000 [3 per cell]
Er1 0.0000 0.3988 0.5000 [3 per cell]
Zn1 0.0000 0.0000 0.5000 [1 per cell]
Ru1 0.3333 0.6667 0.0000 [2 per cell]

Output
Total moment (μB per formula unit): 0.001
Energy of formation (eV per atom): -0.142

The following is a PBE-GGA calculation of a relaxed structure of TbErZnRu, from Alexandria via LeMat-Bulk.

a b c (Å): 3.437 3.437 7.219
angles (deg): 90.00 90.00 90.00
Space group P4mm (No. 99)
Asymmetric unit:
Tb1 0.000 0.000 0.000 [1 per cell]
Er1 0.000 0.000 0.459 [1 per cell]
Zn1 0.500 0.500 0.723 [1 per cell]
Ru1 0.500 0.500 0.234 [1 per cell]

Output
Total moment (μB per formula unit): 0.000
Polymorph energy (0 for the lowest one) (eV/atom): 0.000
Energy of formation (eV per atom): -0.408

The following is a PBE-GGA calculation of a relaxed structure of Er8TcRu2, from Alexandria via LeMat-Bulk.

a b c (Å): 8.294 12.486 5.693
angles (deg): 90.00 108.52 90.00
Space group Cm (No. 8)
Asymmetric unit:
Er1 0.000 0.000 0.000 [2 per cell]
Er2 0.060 0.372 0.788 [4 per cell]
Er3 0.158 0.128 0.601 [4 per cell]
Er4 0.218 0.500 0.374 [2 per cell]
Er5 0.365 0.217 0.189 [4 per cell]
Tc1 0.359 0.000 0.092 [2 per cell]
Ru1 0.354 0.312 0.681 [4 per cell]

Output
Total moment (μB per formula unit): 0.000
Polymorph energy (0 for the lowest one) (eV/atom): 0.050
Energy of formation (eV per atom): -0.178

The following is a PBE-GGA calculation of a relaxed structure of Er8TcRu2, from Alexandria via LeMat-Bulk.

a b c (Å): 17.202 4.807 6.845
angles (deg): 90.00 108.19 90.00
Space group C2/m (No. 12)
Asymmetric unit:
Er1 0.030 0.000 0.295 [4 per cell]
Er2 0.097 0.500 0.956 [4 per cell]
Er3 0.168 0.500 0.463 [4 per cell]
Er4 0.201 0.000 0.811 [4 per cell]
Tc1 0.000 0.500 0.500 [2 per cell]
Ru1 0.184 0.000 0.195 [4 per cell]

Output
Total moment (μB per formula unit): 0.000
Polymorph energy (0 for the lowest one) (eV/atom): 0.000
Energy of formation (eV per atom): -0.228

The following is a PBE-GGA calculation of a relaxed structure of ErTcRu, from Alexandria via LeMat-Bulk.

a b c (Å): 8.587 5.275 9.523
angles (deg): 90.00 90.00 90.00
Space group Amm2 (No. 38)
Asymmetric unit:
Er1 0.183 0.000 0.000 [4 per cell]
Er2 0.312 0.000 0.669 [4 per cell]
Tc1 0.249 0.000 0.341 [4 per cell]
Tc2 0.500 0.242 0.916 [4 per cell]
Ru1 0.000 0.000 0.500 [2 per cell]
Ru2 0.000 0.241 0.744 [4 per cell]
Ru3 0.500 0.000 0.157 [2 per cell]

Output
Total moment (μB per formula unit): 0.000
Polymorph energy (0 for the lowest one) (eV/atom): 0.000
Energy of formation (eV per atom): -0.297

The following is a PBE-GGA calculation of a relaxed structure of ErTcRu, from Alexandria via LeMat-Bulk.

a b c (Å): 5.476 8.809 9.008
angles (deg): 90.00 90.00 90.00
Space group Fmmm (No. 69)
Asymmetric unit:
Er1 0.000 0.166 0.000 [8 per cell]
Tc1 0.000 0.000 0.364 [8 per cell]
Ru1 0.250 0.250 0.250 [8 per cell]

Output
Total moment (μB per formula unit): 0.000
Polymorph energy (0 for the lowest one) (eV/atom): 0.310
Energy of formation (eV per atom): 0.014